# Be2AlSi

A geometry-optimized Be2AlSi structure (PBE-GGA, the Alexandria database).

Output
Uncorrected energy in eV/atom: -3.858
Crystal system: monoclinic
Mass density in Mg/m³: 2.4
Energy above the lowest structure with this stoichiometry in eV/f.u.: 0.64
Uncorrected formation energy in kJ/mol of atoms: 28.58
Magnetic moment in μB/atom: 0.0000

Cell lengths 2.8175, 3.8625, 4.5850 Å; angles 90.00, 95.12, 90.00 degrees
With the nearest neighbours (Å) after each atom.
Space group Pm (No. 6)
One atom of each set of equivalent atoms:
Be1 0.0000 0.0000 0.0000 x1  2 Be 2.22, 2 Si 2.28-2.31
Be2 0.0348 0.5000 0.2409 x1  2 Be 2.22, 2 Si 2.28
Al1 0.4621 0.5000 0.7817 x1  7 Be 2.52-2.66, 4 Si 2.69-2.77, 2 Al 2.82
Si1 0.9474 0.0000 0.4933 x1  4 Be 2.28-2.31

# BeAl2Si

A geometry-optimized BeAl2Si structure (PBE-GGA, the Alexandria database).

Output
Uncorrected energy in eV/atom: -3.932
Crystal system: monoclinic
Mass density in Mg/m³: 2.7
Uncorrected formation energy in kJ/mol of atoms: 21.84
Magnetic moment in μB/atom: 0.0000

Cell lengths 8.6434, 2.7678, 4.7562 Å; angles 90.00, 101.12, 90.00 degrees
With the nearest neighbours (Å) after each atom.
Space group C2/m (No. 12)
One atom of each set of equivalent atoms:
Be1 0.0000 0.0000 0.0000 x2  6 Al 2.59-2.69, 4 Si 2.75, 2 Be 2.77
Al1 0.2426 0.5000 0.2419 x4  3 Be 2.59-2.69, 3 Si 2.63-2.71, 6 Al 2.71-2.80
Si1 0.0000 0.5000 0.5000 x2  6 Al 2.63-2.71, 4 Be 2.75, 2 Si 2.77

# Be2AlSi

A geometry-optimized Be2AlSi structure (PBE-GGA, the Alexandria database).

Output
Uncorrected energy in eV/atom: -3.881
Crystal system: monoclinic
Mass density in Mg/m³: 2.5
Energy above the lowest structure with this stoichiometry in eV/f.u.: 0.55
Uncorrected formation energy in kJ/mol of atoms: 26.43
Magnetic moment in μB/atom: 0.0000

Cell lengths 7.5463, 2.7312, 4.8224 Å; angles 90.00, 102.03, 90.00 degrees
With the nearest neighbours (Å) after each atom.
Space group C2/m (No. 12)
One atom of each set of equivalent atoms:
Be1 0.2465 0.0000 0.2113 x4  3 Si 2.35-2.36, 2 Be 2.46, 3 Al 2.52-2.54
Al1 0.0000 0.0000 0.5000 x2  6 Be 2.52-2.54, 2 Al 2.73, 4 Si 2.77
Si1 0.0000 0.5000 0.0000 x2  6 Be 2.35-2.36

# Be2AlSi

A geometry-optimized Be2AlSi structure (PBE-GGA, the Alexandria database).

Output
Uncorrected energy in eV/atom: -3.857
Crystal system: orthorhombic
Mass density in Mg/m³: 2.5
Energy above the lowest structure with this stoichiometry in eV/f.u.: 0.64
Uncorrected formation energy in kJ/mol of atoms: 28.70
Magnetic moment in μB/atom: 0.0000

Cell lengths 5.1917, 7.1859, 2.5543 Å; angles 90.00, 90.00, 90.00 degrees
With the nearest neighbours (Å) after each atom.
Space group Cmmm (No. 65)
One atom of each set of equivalent atoms:
Be1 0.2500 0.2500 0.0000 x4  4 Be 2.55-2.60, 4 Al 2.56, 4 Si 2.56
Al1 0.0000 0.0000 0.5000 x2  2 Al 2.55, 8 Be 2.56, 2 Si 2.60
Si1 0.0000 0.5000 0.5000 x2  2 Si 2.55, 8 Be 2.56, 2 Al 2.60

# BeAl2Si

A geometry-optimized BeAl2Si structure (PBE-GGA, the Alexandria database).

Output
Uncorrected energy in eV/atom: -3.918
Crystal system: tetragonal
Mass density in Mg/m³: 2.7
Uncorrected formation energy in kJ/mol of atoms: 23.25
Magnetic moment in μB/atom: 0.0000

Cell lengths 3.7821, 3.7821, 7.7342 Å; angles 90.00, 90.00, 90.00 degrees
With the nearest neighbours (Å) after each atom.
Space group I-4m2 (No. 119)
One atom of each set of equivalent atoms:
Be1 0.0000 0.0000 0.0000 x2  8 Al 2.67-2.70, 4 Si 2.70
Al1 0.0000 0.0000 0.5000 x2  4 Be 2.67, 4 Al 2.70, 4 Si 2.70
Al2 0.0000 0.5000 0.2500 x2  4 Si 2.67, 4 Be 2.70, 4 Al 2.70
Si1 0.0000 0.5000 0.7500 x2  8 Al 2.67-2.70, 4 Be 2.70

# Be2AlSi

A geometry-optimized Be2AlSi structure (PBE-GGA, the Alexandria database).

Output
Uncorrected energy in eV/atom: -3.954
Crystal system: monoclinic
Mass density in Mg/m³: 2.3
Energy above the lowest structure with this stoichiometry in eV/f.u.: 0.26
Uncorrected formation energy in kJ/mol of atoms: 19.37
Magnetic moment in μB/atom: 0.0000

Cell lengths 5.4432, 3.6354, 5.5834 Å; angles 90.00, 106.81, 90.00 degrees
With the nearest neighbours (Å) after each atom.
Space group Pm (No. 6)
One atom of each set of equivalent atoms:
Be1 0.0000 0.0000 0.0000 x1  1 Be 2.08, 3 Si 2.28-2.30
Be2 0.1684 0.0000 0.7092 x1  3 Be 2.08-2.19, 3 Si 2.24-2.33
Be3 0.3754 0.5000 0.6661 x1  3 Be 2.17-2.19, 2 Si 2.40
Be4 0.5781 0.5000 0.3844 x1  1 Be 2.17, 3 Si 2.28-2.30, 1 Al 2.31
Al1 0.5549 0.0000 0.0382 x1  4 Be 2.36-2.63, 1 Si 2.57
Al2 0.9444 0.5000 0.2534 x1  3 Be 2.31-2.38
Si1 0.3177 0.0000 0.3752 x1  6 Be 2.24-2.40
Si2 0.9136 0.5000 0.7423 x1  5 Be 2.28-2.33

# Be2Al2Si

A geometry-optimized Be2Al2Si structure (PBE-GGA, the Alexandria database).

Output
Uncorrected energy in eV/atom: -3.665
Crystal system: tetragonal
Mass density in Mg/m³: 2.4
Energy above the lowest structure with this stoichiometry in eV/f.u.: 0.48
Uncorrected formation energy in kJ/mol of atoms: 39.24
Magnetic moment in μB/atom: 0.0000

Cell lengths 3.6865, 3.6865, 10.1752 Å; angles 90.00, 90.00, 90.00 degrees
With the nearest neighbours (Å) after each atom.
Space group I4/mmm (No. 139)
One atom of each set of equivalent atoms:
Be1 0.0000 0.0000 0.0979 x4  1 Be 1.99
Al1 0.0000 0.5000 0.2500 x4  4 Be 2.41, 4 Al 2.61
Si1 0.0000 0.0000 0.5000 x2  8 Be 2.79

# Be2AlSi

A geometry-optimized Be2AlSi structure (PBE-GGA, the Alexandria database).

Output
Uncorrected energy in eV/atom: -3.656
Crystal system: cubic
Mass density in Mg/m³: 2.5
Energy above the lowest structure with this stoichiometry in eV/f.u.: 1.45
Uncorrected formation energy in kJ/mol of atoms: 48.12
Magnetic moment in μB/atom: 0.0000

Cell lengths 5.8296, 5.8296, 5.8296 Å; angles 90.00, 90.00, 90.00 degrees
With the nearest neighbours (Å) after each atom.
Space group F-43m (No. 216)
One atom of each set of equivalent atoms:
Be1 0.0000 0.0000 0.0000 x4  4 Be 2.52, 4 Al 2.52
Be2 0.2500 0.2500 0.2500 x4  4 Si 2.52, 4 Be 2.52
Al1 0.2500 0.2500 0.7500 x4  4 Be 2.52, 4 Si 2.52
Si1 0.0000 0.0000 0.5000 x4  4 Be 2.52, 4 Al 2.52